1.
Here is a relaxed Tl2AgH6 crystal from Alexandria via LeMat-Bulk. Energies are from GGA-PBE.

Calculated values
Its calculated total energy is -23.5 eV/cell.

a = 4.4025 Å, b = 5.6403 Å, c = 5.6404 Å
α = 120.02°, β = 89.99°, γ = 89.99°
Last column: nearest neighbours and their distance in Å.
Atoms (fractional coordinates):
H 0.7815 0.2548 0.2548  1 Ag 1.73
H 0.2184 0.2548 0.0001  1 Ag 1.73
Tl 0.5000 0.6666 0.3334  6 H 2.47
H 0.2184 0.0001 0.2548  1 Ag 1.73
H 0.7816 0.7452 0.9999  1 Ag 1.73
Ag 0.0000 0.0000 0.0000  6 H 1.73
H 0.2185 0.7451 0.7451  1 Ag 1.73
H 0.7816 0.9999 0.7452  1 Ag 1.73
Tl 0.5000 0.3334 0.6666  6 H 2.47

***

2.
Here is a relaxed CsAsH crystal from Alexandria via LeMat-Bulk. Energies are from GGA-PBE.

Calculated values
Its calculated total energy is -38.3 eV/cell.

a = 6.1626 Å, b = 5.8104 Å, c = 10.1903 Å
α = 90.00°, β = 90.00°, γ = 90.00°
Last column: nearest neighbours and their distance in Å.
Atoms (fractional coordinates):
As 0.7500 0.0773 0.2531  1 H 1.55
Cs 0.2500 0.2974 0.0964  3 H 3.02-3.31
Cs 0.7500 0.2026 0.5964  3 H 3.02-3.31
As 0.2500 0.9227 0.7469  1 H 1.55
H 0.2500 0.4101 0.6008  1 As 1.55
Cs 0.2500 0.7974 0.4036  3 H 3.02-3.31
As 0.7500 0.5773 0.2469  1 H 1.55
As 0.2500 0.4227 0.7531  1 H 1.55
Cs 0.7500 0.7026 0.9036  3 H 3.02-3.31
H 0.7500 0.0899 0.1008  1 As 1.55
H 0.2500 0.9101 0.8992  1 As 1.55
H 0.7500 0.5899 0.3992  1 As 1.55

***

3.
Here is a relaxed MnOs2Au crystal from Alexandria via LeMat-Bulk. Energies are from GGA-PBE.

Calculated values
The formation energy comes out at 0.337 eV per atom.

a = 4.7491 Å, b = 4.7491 Å, c = 4.7782 Å
α = 80.36°, β = 80.36°, γ = 34.35°
Last column: nearest neighbours and their distance in Å.
Atoms (fractional coordinates):
Au 0.5004 0.5004 0.4850  3 Mn 2.68-2.76, 7 Os 2.75-2.88, 2 Au 2.80
Os 0.0018 0.0018 0.9799  5 Os 2.64-2.80, 4 Au 2.75-2.79, 3 Mn 2.77-2.80
Mn 0.2533 0.2533 0.2476  7 Os 2.62-2.93, 3 Au 2.68-2.76, 2 Mn 2.80
Os 0.7445 0.7445 0.7876  4 Mn 2.62-2.93, 5 Os 2.64-2.80, 3 Au 2.85-2.88

***

4.
Here is a relaxed TcBiN2F crystal from Alexandria via LeMat-Bulk. Energies are from GGA-PBE.

Calculated values
Its uncorrected formation energy is 5.12 kJ per mole of atoms.

a = 3.9707 Å, b = 3.9707 Å, c = 4.2151 Å
α = 90.00°, β = 90.00°, γ = 90.00°
Last column: nearest neighbours and their distance in Å.
Atoms (fractional coordinates):
F 0.0000 0.0000 0.5000  2 Tc 2.11
N 0.5000 0.0000 0.0000  2 Tc 1.99
Tc 0.0000 0.0000 0.0000  4 N 1.99, 2 F 2.11
Bi 0.5000 0.5000 0.5000  4 F 2.81, 8 N 2.90
N 0.0000 0.5000 0.0000  2 Tc 1.99

***

5.
Here is a relaxed TiFe2SiH crystal from Alexandria via LeMat-Bulk. Energies are from GGA-PBE.

Calculated values
Its calculated total energy is -70.8 eV/cell.

a = 2.8217 Å, b = 5.5166 Å, c = 6.8958 Å
α = 90.00°, β = 90.00°, γ = 104.82°
Last column: nearest neighbours and their distance in Å.
Atoms (fractional coordinates):
Ti 0.4787 0.9575 0.7500  4 H 2.24
Fe 0.1464 0.2928 0.9560  1 H 1.59
Si 0.7532 0.5064 0.7500  6 Fe 2.29-2.30
Fe 0.8536 0.7072 0.0440  1 H 1.59
Ti 0.5213 0.0425 0.2500  4 H 2.24
Fe 0.1464 0.2928 0.5440  1 H 1.59
Si 0.2468 0.4936 0.2500  6 Fe 2.29-2.30
H 0.0000 0.0000 0.0000  2 Fe 1.59
H 0.0000 0.0000 0.5000  2 Fe 1.59
Fe 0.8536 0.7072 0.4560  1 H 1.59

***

6.
Here is a relaxed KNa2TlZn crystal from Alexandria via LeMat-Bulk. Energies are from GGA-PBE.

Calculated values
The formation energy comes out at 0.074 eV per atom.

a = 5.9907 Å, b = 5.9907 Å, c = 5.4799 Å
α = 90.00°, β = 90.00°, γ = 90.00°
Last column: nearest neighbours and their distance in Å.
Atoms (fractional coordinates):
Tl 0.0000 0.0000 0.0000  2 Zn 2.74, 4 Na 3.00
Na 0.0000 0.5000 0.0000  2 Tl 3.00
Zn 0.0000 0.0000 0.5000  2 Tl 2.74
K 0.5000 0.5000 0.5000  8 Na 4.06, 4 Zn 4.24
Na 0.5000 0.0000 0.0000  2 Tl 3.00

***

7.
Here is a relaxed KCo2AgCl6 crystal from Alexandria via LeMat-Bulk. Energies are from GGA-PBE.

Calculated values
Its uncorrected formation energy is -79.58 kJ per mole of atoms.

a = 8.8839 Å, b = 8.8839 Å, c = 7.0621 Å
α = 102.03°, β = 102.03°, γ = 84.28°
Last column: nearest neighbours and their distance in Å.
Atoms (fractional coordinates):
Cl 0.3056 0.4697 0.3635  1 Co 2.23
Co 0.7017 0.8761 0.2325  4 Cl 2.23-2.31
Cl 0.4697 0.3056 0.8635  1 Co 2.23
Cl 0.1095 0.5958 0.8314  1 Co 2.23
Cl 0.8905 0.4042 0.1686  1 Co 2.23
Ag 0.3990 0.6010 0.7500  6 Cl 2.72-2.87
Cl 0.6944 0.5303 0.6365  1 Co 2.23
K 0.1934 0.8066 0.2500  6 Cl 3.14-3.34
Co 0.8761 0.7017 0.7325  4 Cl 2.23-2.31
Cl 0.1785 0.1023 0.0201  2 Co 2.29-2.31
Cl 0.5958 0.1095 0.3314  1 Co 2.23
Cl 0.4042 0.8905 0.6686  1 Co 2.23
K 0.8066 0.1934 0.7500  6 Cl 3.14-3.34
Co 0.1239 0.2983 0.2675  4 Cl 2.23-2.31
Cl 0.8977 0.8215 0.4799  2 Co 2.29-2.31
Cl 0.5303 0.6944 0.1365  1 Co 2.23
Ag 0.6010 0.3990 0.2500  6 Cl 2.72-2.87
Co 0.2983 0.1239 0.7675  4 Cl 2.23-2.31
Cl 0.8215 0.8977 0.9799  2 Co 2.29-2.31
Cl 0.1023 0.1785 0.5201  2 Co 2.29-2.31

***

8.
Here is a relaxed AcPmSc2 crystal from Alexandria via LeMat-Bulk. Energies are from GGA-PBE.

Calculated values
The formation energy comes out at 0.086 eV per atom.

a = 4.4058 Å, b = 5.3181 Å, c = 5.3181 Å
α = 90.00°, β = 90.00°, γ = 90.00°
Last column: nearest neighbours and their distance in Å.
Atoms (fractional coordinates):
Ac 0.5000 0.5000 0.5000  8 Sc 3.45, 4 Pm 3.76
Pm 0.5000 0.0000 0.0000  8 Sc 3.45, 4 Ac 3.76
Sc 0.0000 0.5000 0.0000  4 Ac 3.45, 4 Pm 3.45, 4 Sc 3.76
Sc 0.0000 0.0000 0.5000  4 Ac 3.45, 4 Pm 3.45, 4 Sc 3.76

***

9.
Here is a relaxed Cs12Hg7F crystal from Alexandria via LeMat-Bulk. Energies are from GGA-PBE.

Calculated values
Its uncorrected formation energy is -39.99 kJ per mole of atoms.

a = 11.6847 Å, b = 11.6847 Å, c = 11.6847 Å
α = 110.15°, β = 110.15°, γ = 110.15°
Last column: nearest neighbours and their distance in Å.
Atoms (fractional coordinates):
Cs 0.8207 0.7136 0.9805  1 F 3.16
Hg 0.9914 0.8760 0.3900  1 Hg 3.03
Cs 0.2864 0.0195 0.1793  1 F 3.16
Hg 0.0086 0.1240 0.6100  1 Hg 3.03
Cs 0.6904 0.3969 0.2070  3 Hg 3.85-4.04
Hg 0.8760 0.3900 0.9914  1 Hg 3.03
F 0.0000 0.0000 0.0000  6 Cs 3.16
Cs 0.6031 0.7930 0.3096  3 Hg 3.85-4.04
Cs 0.0195 0.1793 0.2864  1 F 3.16
Hg 0.1240 0.6100 0.0086  1 Hg 3.03
Cs 0.7136 0.9805 0.8207  1 F 3.16
Cs 0.3969 0.2070 0.6904  3 Hg 3.85-4.04
Hg 0.6100 0.0086 0.1240  1 Hg 3.03
Hg 0.5000 0.5000 0.5000  12 Cs 4.60-4.73
Cs 0.9805 0.8207 0.7136  1 F 3.16
Hg 0.3900 0.9914 0.8760  1 Hg 3.03
Cs 0.3096 0.6031 0.7930  3 Hg 3.85-4.04
Cs 0.7930 0.3096 0.6031  3 Hg 3.85-4.04
Cs 0.2070 0.6904 0.3969  3 Hg 3.85-4.04
Cs 0.1793 0.2864 0.0195  1 F 3.16

***

10.
Here is a relaxed Li3Ac2Sn4Au crystal from Alexandria via LeMat-Bulk. Energies are from GGA-PBE.

Calculated values
The formation energy comes out at -0.605 eV per atom.

a = 4.7187 Å, b = 4.7187 Å, c = 11.1196 Å
α = 90.00°, β = 90.00°, γ = 90.00°
Last column: nearest neighbours and their distance in Å.
Atoms (fractional coordinates):
Sn 0.5000 0.0000 0.6313  3 Li 2.65-2.77, 2 Au 2.77
Li 0.0000 0.5000 0.1303  5 Sn 2.65-2.77
Li 0.5000 0.0000 0.8697  5 Sn 2.65-2.77
Li 0.0000 0.0000 0.5000  4 Sn 2.77
Ac 0.0000 0.5000 0.7445  8 Sn 3.57-3.69, 6 Li 3.60-3.62, 2 Au 3.60
Sn 0.0000 0.5000 0.3687  3 Li 2.65-2.77, 2 Au 2.77
Sn 0.0000 0.0000 0.0000  4 Li 2.77
Sn 0.5000 0.5000 0.0000  4 Li 2.77
Au 0.5000 0.5000 0.5000  4 Sn 2.77
Ac 0.5000 0.0000 0.2555  8 Sn 3.57-3.69, 6 Li 3.60-3.62, 2 Au 3.60

***

11.
Here is a relaxed Pm12GaPb7 crystal from Alexandria via LeMat-Bulk. Energies are from GGA-PBE.

Calculated values
The formation energy comes out at -0.344 eV per atom.

a = 9.2987 Å, b = 9.2987 Å, c = 9.2987 Å
α = 108.71°, β = 108.71°, γ = 108.71°
Last column: nearest neighbours and their distance in Å.
Atoms (fractional coordinates):
Pb 0.6442 0.9905 0.1189  1 Pb 2.98, 2 Pm 3.11-3.14
Pm 0.9578 0.7576 0.6688  1 Ga 2.99, 1 Pb 3.14
Pm 0.2424 0.3312 0.0422  1 Ga 2.99, 1 Pb 3.14
Pm 0.3201 0.6052 0.7833  3 Pb 3.11-3.45
Pb 0.1189 0.6442 0.9905  1 Pb 2.98, 2 Pm 3.11-3.14
Pb 0.8811 0.3558 0.0095  1 Pb 2.98, 2 Pm 3.11-3.14
Pb 0.3558 0.0095 0.8811  1 Pb 2.98, 2 Pm 3.11-3.14
Pm 0.6688 0.9578 0.7576  1 Ga 2.99, 1 Pb 3.14
Pm 0.6799 0.3948 0.2167  3 Pb 3.11-3.45
Pm 0.3948 0.2167 0.6799  3 Pb 3.11-3.45
Ga 0.0000 0.0000 0.0000  6 Pm 2.99
Pm 0.6052 0.7833 0.3201  3 Pb 3.11-3.45
Pm 0.2167 0.6799 0.3948  3 Pb 3.11-3.45
Pm 0.0422 0.2424 0.3312  1 Ga 2.99, 1 Pb 3.14
Pm 0.7576 0.6688 0.9578  1 Ga 2.99, 1 Pb 3.14
Pb 0.0095 0.8811 0.3558  1 Pb 2.98, 2 Pm 3.11-3.14
Pb 0.9905 0.1189 0.6442  1 Pb 2.98, 2 Pm 3.11-3.14
Pm 0.7833 0.3201 0.6052  3 Pb 3.11-3.45
Pm 0.3312 0.0422 0.2424  1 Ga 2.99, 1 Pb 3.14
Pb 0.5000 0.5000 0.5000  12 Pm 3.59-3.62

***

12.
Here is a relaxed CrTc2Pb crystal from Alexandria via LeMat-Bulk. Energies are from GGA-PBE.

Calculated values
The formation energy comes out at 0.660 eV per atom.

a = 4.5403 Å, b = 4.5403 Å, c = 4.5403 Å
α = 60.00°, β = 60.00°, γ = 60.00°
Last column: nearest neighbours and their distance in Å.
Atoms (fractional coordinates):
Pb 0.7500 0.7500 0.7500  4 Tc 2.78, 4 Cr 2.78
Tc 0.2500 0.2500 0.2500  4 Cr 2.78, 4 Tc 2.78
Cr 0.5000 0.5000 0.5000  4 Tc 2.78, 4 Pb 2.78
Tc 0.0000 0.0000 0.0000  4 Pb 2.78, 4 Tc 2.78